# 1
First-principles (PBE) data for crystalline YSc3As at its relaxed geometry, as listed in the Alexandria database.

Cell and atoms, written as POSCAR:
```
YSc3As
1.0
-1.218 -4.946 0.883
4.968 -1.320 -0.542
0.744 0.721 5.065
Y Sc As
1 3 1
direct
0.000 0.000 0.000
0.000 0.500 0.000
0.000 0.000 0.500
0.500 0.000 0.000
0.500 0.500 0.500
```

Computed properties:
- size of the total moment (Bohr magnetons per cell) = 0.0
- volume (Å³ per atom) = 27.627
- DFT formation energy (eV per atom) = 1.004
- space group = Pm-3m, No. 221
- ΔE to the lowest computed polymorph (eV/f.u.) = 6.463

=====

# 2
First-principles (PBE) data for crystalline In2BiB at its relaxed geometry, as listed in the Alexandria database.

Cell and atoms, written as POSCAR:
```
In2BiB
1.0
6.315 0.000 0.000
0.000 6.315 0.000
3.158 3.158 5.483
B Bi In
2 2 4
direct
0.500 0.500 0.000
0.250 0.750 0.500
0.000 0.000 0.000
0.750 0.250 0.500
0.518 0.125 0.250
0.232 0.625 0.250
0.375 0.482 0.750
0.875 0.768 0.750
```

Computed properties:
- size of the total moment (Bohr magnetons per cell) = 0.0
- volume (Å³ per atom) = 27.332
- DFT formation energy (eV per atom) = 0.566
- space group = I-42d, No. 122
- ΔE to the lowest computed polymorph (eV/f.u.) = 0.000

=====

# 3
First-principles (PBE) data for crystalline NaTc2OsRu at its relaxed geometry, as listed in the Alexandria database.

Cell and atoms, written as POSCAR:
```
NaTc2OsRu
1.0
-1.958 -2.010 -3.789
3.895 0.967 -2.525
1.843 -4.155 1.252
Ru Os Tc Na
1 1 2 1
direct
0.000 0.000 0.000
0.000 0.500 0.000
0.000 0.000 0.500
0.500 0.000 0.000
0.500 0.500 0.500
```

Computed properties:
- size of the total moment (Bohr magnetons per cell) = 2.6
- volume (Å³ per atom) = 21.084
- DFT formation energy (eV per atom) = 1.751
- space group = P4/mmm, No. 123

=====

# 4
First-principles (PBE) data for crystalline SiIrSeN2 at its relaxed geometry, as listed in the Alexandria database.

Cell and atoms, written as POSCAR:
```
SiIrSeN2
1.0
3.429 0.000 0.000
0.000 3.429 0.000
0.000 0.000 8.514
Si Ir Se N
1 1 1 2
direct
0.000 0.000 0.000
0.500 0.500 0.500
0.000 0.000 0.500
0.000 0.500 0.000
0.500 0.000 0.000
```

Computed properties:
- size of the total moment (Bohr magnetons per cell) = 0.0
- ΔE_f (raw) (meV/atom) = 812
- volume (Å³ per atom) = 20.025
- space group = P4/mmm, No. 123
- ΔE to the lowest computed polymorph (eV/f.u.) = 0.000

=====

# 5
First-principles (PBE) data for crystalline CuRhSe at its relaxed geometry, as listed in the Alexandria database.

Cell and atoms, written as POSCAR:
```
CuRhSe
1.0
-2.133 -4.237 0.385
-0.675 -2.707 -3.856
3.510 2.445 2.085
Cu Rh Se
1 1 1
direct
0.991 0.991 0.000
0.313 0.313 0.000
0.696 0.696 0.000
```

Computed properties:
- size of the total moment (Bohr magnetons per cell) = 0.0
- ΔE_f (raw) (meV/atom) = 25
- volume (Å³ per atom) = 15.444
- space group = I4mm, No. 107
- ΔE to the lowest computed polymorph (eV/f.u.) = 0.099

=====

# 6
First-principles (PBE) data for crystalline TbCeCdSn at its relaxed geometry, as listed in the Alexandria database.

Cell and atoms, written as POSCAR:
```
TbCeCdSn
1.0
-3.183 2.729 -3.353
-5.141 -1.433 -0.584
-3.898 3.133 1.952
Tb Sn Ce Cd
1 1 1 1
direct
0.500 0.500 0.500
0.250 0.250 0.250
0.000 0.000 0.000
0.750 0.750 0.750
```

Computed properties:
- size of the total moment (Bohr magnetons per cell) = 1.1
- volume (Å³ per atom) = 27.357
- DFT formation energy (eV per atom) = -0.441
- space group = F-43m, No. 216

=====

# 7
First-principles (PBE) data for crystalline Be2CdRu at its relaxed geometry, as listed in the Alexandria database.

Cell and atoms, written as POSCAR:
```
Be2CdRu
1.0
4.172 -0.012 0.005
3.026 2.872 0.005
1.117 0.444 4.562
Ru Be Cd
1 2 1
direct
0.250 0.250 0.250
0.974 0.974 0.106
0.526 0.526 0.394
0.750 0.750 0.750
```

Computed properties:
- size of the total moment (Bohr magnetons per cell) = 0.0
- volume (Å³ per atom) = 13.704
- DFT formation energy (eV per atom) = 0.123
- space group = C2/m, No. 12

=====

# 8
First-principles (PBE) data for crystalline RbSr2GaPt at its relaxed geometry, as listed in the Alexandria database.

Cell and atoms, written as POSCAR:
```
RbSr2GaPt
1.0
6.071 0.000 0.000
0.000 6.071 0.000
0.000 0.000 5.003
Sr Ga Rb Pt
2 1 1 1
direct
0.000 0.500 0.000
0.500 0.000 0.000
0.000 0.000 0.500
0.500 0.500 0.500
0.000 0.000 0.000
```

Computed properties:
- size of the total moment (Bohr magnetons per cell) = 0.4
- volume (Å³ per atom) = 36.886
- DFT formation energy (eV per atom) = -0.342
- space group = P4/mmm, No. 123

=====

# 9
First-principles (PBE) data for crystalline RbAl2GaCo at its relaxed geometry, as listed in the Alexandria database.

Cell and atoms, written as POSCAR:
```
RbAl2GaCo
1.0
4.702 0.000 0.000
0.000 4.760 0.000
0.000 0.000 4.702
Co Ga Rb Al
1 1 1 2
direct
0.000 0.000 0.000
0.000 0.500 0.000
0.500 0.500 0.500
0.000 0.000 0.500
0.500 0.000 0.000
```

Computed properties:
- size of the total moment (Bohr magnetons per cell) = 0.0
- volume (Å³ per atom) = 21.042
- DFT formation energy (eV per atom) = -0.003
- space group = P4/mmm, No. 123

=====

# 10
First-principles (PBE) data for crystalline Si7Rh6 at its relaxed geometry, as listed in the Alexandria database.

Cell and atoms, written as POSCAR:
```
Si7Rh6
1.0
8.852 0.010 0.006
7.449 4.781 0.006
7.449 2.190 4.250
Si Rh
7 6
direct
0.916 0.420 0.420
0.420 0.420 0.916
0.420 0.916 0.420
0.084 0.580 0.580
0.580 0.084 0.580
0.580 0.580 0.084
0.500 0.500 0.500
0.944 0.944 0.944
0.056 0.056 0.056
0.823 0.823 0.823
0.177 0.177 0.177
0.670 0.670 0.670
0.330 0.330 0.330
```

Computed properties:
- size of the total moment (Bohr magnetons per cell) = 0.0
- ΔE_f (raw) (meV/atom) = -305
- volume (Å³ per atom) = 13.791
- space group = R-3m, No. 166

=====

# 11
First-principles (PBE) data for crystalline DyHoTm2 at its relaxed geometry, as listed in the Alexandria database.

Cell and atoms, written as POSCAR:
```
DyHoTm2
1.0
-1.244 1.710 -2.794
2.298 -1.675 -2.047
-6.601 -7.236 -1.489
Tm Ho Dy
2 1 1
direct
0.000 0.000 0.751
0.000 0.000 0.249
0.500 0.500 0.000
0.500 0.500 0.500
```

Computed properties:
- size of the total moment (Bohr magnetons per cell) = 0.0
- volume (Å³ per atom) = 30.407
- DFT formation energy (eV per atom) = 0.024
- space group = P4/mmm, No. 123
- ΔE to the lowest computed polymorph (eV/f.u.) = 0.086

=====

> volume of number 4 (SiIrSeN2)?

20.025 Å³ per atom